1.
YZnHg2 | PBE | relaxed Values from VASP.

Properties
**Energy**: -2.285 eV per atom
**Calculated formation energy**: -0.20 eV/atom
**ρ**: 10.0 g/cm3

Geometry as Quantum ESPRESSO input:
```
&SYSTEM
  ibrav = 0, nat = 4, ntyp = 3
/
ATOMIC_SPECIES
Hg 200.59 Hg.upf
Zn 65.41 Zn.upf
Y 88.91 Y.upf
CELL_PARAMETERS angstrom
3.640 0.000 0.000
0.000 3.640 0.000
0.000 0.000 6.947
ATOMIC_POSITIONS angstrom
Hg 1.820 1.820 1.704
Hg 0.000 0.000 6.771
Zn 1.820 1.820 5.339
Y 0.000 0.000 3.552
```

2.
YZnHg2 | PBE | relaxed Values from VASP.

Properties
**Energy**: -2.368 eV per atom
**Calculated formation energy**: -0.28 eV/atom
**ρ**: 9.9 g/cm3

Geometry as Quantum ESPRESSO input:
```
&SYSTEM
  ibrav = 0, nat = 16, ntyp = 3
/
ATOMIC_SPECIES
Y 88.91 Y.upf
Hg 200.59 Hg.upf
Zn 65.41 Zn.upf
CELL_PARAMETERS angstrom
3.593 0.000 -0.846
0.000 9.604 0.000
0.602 0.000 10.607
ATOMIC_POSITIONS angstrom
Y 2.691 2.401 3.374
Hg 1.407 0.941 5.975
Hg 1.407 3.861 5.975
Zn 0.595 4.711 2.526
Hg 2.788 8.663 3.786
Hg 0.366 7.203 1.555
Zn 3.600 4.893 7.235
Hg 3.829 2.401 8.206
Hg 3.895 7.203 8.489
Y 1.504 7.203 6.386
Hg 0.299 2.401 1.271
Y 1.796 4.802 -0.423
Hg 2.788 5.743 3.786
Y 1.796 0.000 -0.423
Zn 0.595 0.091 2.526
Zn 3.600 9.513 7.235
```

3.
YZn3Hg | PBE | relaxed Values from VASP.

Properties
**Energy**: -1.378 eV per atom
**Calculated formation energy**: 0.74 eV/atom
**ρ**: 4.2 g/cm3

Geometry as Quantum ESPRESSO input:
```
&SYSTEM
  ibrav = 0, nat = 5, ntyp = 3
/
ATOMIC_SPECIES
Zn 65.41 Zn.upf
Y 88.91 Y.upf
Hg 200.59 Hg.upf
CELL_PARAMETERS angstrom
5.749 0.000 0.000
0.000 5.749 0.000
0.000 0.000 5.749
ATOMIC_POSITIONS angstrom
Zn 2.875 0.000 0.000
Zn 0.000 2.875 0.000
Y 0.000 0.000 0.000
Zn 0.000 0.000 2.875
Hg 2.875 2.875 2.875
```

4.
Y2Zn5Hg | PBE | relaxed Values from VASP.

Properties
**Energy**: -2.797 eV per atom
**Calculated formation energy**: -0.35 eV/atom
**ρ**: 7.4 g/cm3

Geometry as Quantum ESPRESSO input:
```
&SYSTEM
  ibrav = 0, nat = 16, ntyp = 3
/
ATOMIC_SPECIES
Zn 65.41 Zn.upf
Y 88.91 Y.upf
Hg 200.59 Hg.upf
CELL_PARAMETERS angstrom
4.309 0.000 0.000
-2.155 8.132 0.000
0.000 0.000 9.066
ATOMIC_POSITIONS angstrom
Zn 2.155 5.082 0.983
Zn 0.000 3.050 8.082
Zn 0.000 3.050 5.516
Y 0.000 3.252 2.266
Zn 2.155 2.497 4.356
Zn 0.000 5.635 8.889
Y 2.155 4.880 6.799
Zn 0.000 5.635 4.710
Y 0.000 0.000 4.533
Y 0.000 0.000 0.000
Hg 2.155 0.829 2.266
Zn 2.155 5.082 3.549
Hg 0.000 7.303 6.799
Zn 2.155 1.779 6.799
Zn 2.155 2.497 0.177
Zn 0.000 6.352 2.266
```